1.
## Li2ScPb (PBEsol)

Data for an optimized crystal structure of Li2ScPb.

a = 4.196 Å, b = 4.196 Å, c = 4.668 Å
α = 90.00°, β = 90.00°, γ = 90.00°
Fractional positions:
Li: 0.000 0.500 0.000
Li: 0.500 0.000 0.000
Sc: 0.000 0.000 0.500
Pb: 0.500 0.500 0.500

**Formation enthalpy at 0 K**: -0.274 eV per atom



2.
## LiScPb2 (PBEsol)

Data for an optimized crystal structure of LiScPb2.

a = 3.289 Å, b = 4.197 Å, c = 6.637 Å
α = 90.00°, β = 90.00°, γ = 90.00°
Fractional positions:
Li: 0.000 0.000 0.000
Sc: 0.000 0.000 0.500
Pb: 0.500 0.500 0.245
Pb: 0.500 0.500 0.755

**Distance to the lowest polymorph of the same formula**: 0.0163 eV/atom
**Formation enthalpy at 0 K**: -0.340 eV per atom



3.
## LiPbSe3 (PBEsol)

Data for an optimized crystal structure of LiPbSe3.

a = 5.425 Å, b = 5.425 Å, c = 5.425 Å
α = 90.00°, β = 90.00°, γ = 90.00°
Fractional positions:
Li: 0.000 0.000 0.000
Pb: 0.500 0.500 0.500
Se: 0.000 0.500 0.500
Se: 0.500 0.000 0.500
Se: 0.500 0.500 0.000

**ΔE_f (raw)**: 0.1689 eV per atom



4.
## LiSi2Pb (PBEsol)

Data for an optimized crystal structure of LiSi2Pb.

a = 2.976 Å, b = 4.073 Å, c = 6.420 Å
α = 90.00°, β = 90.00°, γ = 90.00°
Fractional positions:
Li: 0.000 0.000 0.000
Si: 0.500 0.500 0.186
Si: 0.500 0.500 0.814
Pb: 0.000 0.000 0.500

**ΔE_f (raw)**: 0.2091 eV per atom



5.
## LiSi2Pb (PBEsol)

Data for an optimized crystal structure of LiSi2Pb.

a = 4.296 Å, b = 4.296 Å, c = 5.755 Å
α = 103.80°, β = 103.80°, γ = 49.99°
Fractional positions:
Li: 0.000 0.000 0.000
Si: 0.451 0.451 0.334
Si: 0.744 0.744 0.217
Pb: 0.227 0.227 0.665

**ΔE_f (raw)**: 0.1425 eV per atom



6.
## Li3SiPb (PBEsol)

Data for an optimized crystal structure of Li3SiPb.

a = 4.715 Å, b = 4.715 Å, c = 4.715 Å
α = 90.00°, β = 90.00°, γ = 90.00°
Fractional positions:
Li: 0.000 0.000 0.500
Li: 0.000 0.500 0.000
Li: 0.500 0.000 0.000
Si: 0.000 0.000 0.000
Pb: 0.500 0.500 0.500

**ΔE_f (raw)**: 0.1005 eV per atom



7.
## LiSiPb3 (PBEsol)

Data for an optimized crystal structure of LiSiPb3.

a = 5.040 Å, b = 5.040 Å, c = 5.040 Å
α = 90.00°, β = 90.00°, γ = 90.00°
Fractional positions:
Li: 0.000 0.000 0.000
Si: 0.500 0.500 0.500
Pb: 0.000 0.000 0.500
Pb: 0.000 0.500 0.000
Pb: 0.500 0.000 0.000

**ΔE_f (raw)**: 0.4713 eV per atom



8.
## Li3SnPb (PBEsol)

Data for an optimized crystal structure of Li3SnPb.

a = 5.004 Å, b = 5.004 Å, c = 5.004 Å
α = 90.00°, β = 90.00°, γ = 90.00°
Fractional positions:
Li: 0.000 0.000 0.500
Li: 0.000 0.500 0.000
Li: 0.500 0.000 0.000
Sn: 0.000 0.000 0.000
Pb: 0.500 0.500 0.500

**Formation enthalpy at 0 K**: 0.068 eV per atom



Number 1: theoretical density 5.37 g cm⁻³, volume 82.2 Å³ per cell. Number 2: theoretical density 8.45 g cm⁻³, volume 91.6 Å³ per cell. Number 3: theoretical density 4.69 g cm⁻³, volume 159.7 Å³ per cell. Number 4: theoretical density 5.77 g cm⁻³, volume 77.8 Å³ per cell. Number 5: theoretical density 5.72 g cm⁻³, volume 78.5 Å³ per cell. Number 6: theoretical density 4.06 g cm⁻³, volume 104.9 Å³ per cell. Number 7: theoretical density 8.52 g cm⁻³, volume 128.0 Å³ per cell. Number 8: theoretical density 4.59 g cm⁻³, volume 125.3 Å³ per cell.